Entry 1:
A plane-wave DFT calculation with PBE-GGA was carried out for an optimized crystal structure of Pm2Nd3Sb3.

```
16
Lattice="6.5081 0.0000 0.0000 0.0000 9.3081 0.0000 0.0000 -4.6540 8.0610" Properties=species:S:1:pos:R:3 pbc="T T T"
Pm 0.0000 0.0000 5.3740
Pm 3.2541 4.6540 2.6870
Pm 0.0000 4.6540 2.6870
Pm 3.2541 0.0000 5.3740
Nd 4.8811 2.3228 0.0000
Nd 4.8811 3.4926 6.0494
Nd 4.8811 -1.1614 2.0116
Nd 1.6270 6.9853 0.0000
Nd 1.6270 1.1614 2.0116
Nd 1.6270 -3.4926 6.0494
Sb 4.8811 5.6971 0.0000
Sb 4.8811 1.8055 3.1272
Sb 4.8811 -2.8485 4.9338
Sb 1.6270 3.6110 0.0000
Sb 1.6270 2.8485 4.9338
Sb 1.6270 -1.8055 3.1272
```

Output
ρ: 7.4 Mg/m³
DOS(E_F): 18.3 states/eV per cell
formation energy (no corrections): -0.972 eV/atom

***

Entry 2:
A plane-wave DFT calculation with PBE-GGA was carried out for an optimized crystal structure of SrLiGaPb.

```
4
Lattice="5.3389 0.0000 0.0000 2.6694 4.6236 0.0000 2.6694 1.5412 4.3592" Properties=species:S:1:pos:R:3 pbc="T T T"
Pb 8.0083 4.6236 3.2694
Sr 0.0000 0.0000 0.0000
Ga 2.6694 1.5412 1.0898
Li 5.3389 3.0824 2.1796
```

Output
ρ: 5.7 Mg/m³
formation enthalpy at 0 K: -0.298 eV/atom
DOS(E_F): 1.1 states/eV per cell

***

Entry 3:
A plane-wave DFT calculation with PBE-GGA was carried out for an optimized crystal structure of LiAcAgAs.

```
4
Lattice="5.0742 0.0000 0.0000 2.5371 4.3944 0.0000 2.5371 1.4648 4.1431" Properties=species:S:1:pos:R:3 pbc="T T T"
Ac 7.6113 4.3944 3.1073
As 2.5371 1.4648 1.0358
Ag 0.0000 0.0000 0.0000
Li 5.0742 2.9296 2.0715
```

Output
ρ: 7.5 Mg/m³
formation enthalpy at 0 K: -0.283 eV/atom
DOS(E_F): 2.7 states/eV per cell

***

Entry 4:
A plane-wave DFT calculation with PBE-GGA was carried out for an optimized crystal structure of Ac5PrSm6.

```
12
Lattice="5.2068 -0.0081 -1.5150 -3.5552 9.0346 -2.5633 0.0913 -0.6473 10.0203" Properties=species:S:1:pos:R:3 pbc="T T T"
Pr 0.0000 0.0000 0.0000
Ac 2.0967 0.9364 7.1992
Ac -1.1230 2.5768 5.8299
Ac 0.8715 4.1896 2.9710
Ac 2.8659 5.8024 0.1121
Ac -0.3538 7.4428 -1.2572
Sm 1.0365 0.4810 3.5584
Sm 1.9128 4.6951 6.5467
Sm 3.0356 2.0702 0.7132
Sm -1.2927 6.3090 5.2288
Sm -0.1699 3.6842 -0.6048
Sm 0.7065 7.8982 2.3836
```

Output
ρ: 7.9 Mg/m³
formation enthalpy at 0 K: 0.036 eV/atom
DOS(E_F): 18.8 states/eV per cell

***

Entry 5:
A plane-wave DFT calculation with PBE-GGA was carried out for an optimized crystal structure of SrIn2Au.

```
8
Lattice="4.9743 0.0000 0.0000 0.0000 5.4352 0.1224 0.0000 -1.0272 8.3638" Properties=species:S:1:pos:R:3 pbc="T T T"
Sr 3.7307 1.7506 6.7858
Sr 1.2436 2.6574 1.7004
In 3.7307 -0.0635 0.7958
In 1.2436 4.4716 7.6904
In 3.7307 4.0109 3.8416
In 1.2436 0.3971 4.6445
Au 3.7307 1.2960 3.2960
Au 1.2436 3.1120 5.1902
```

Output
ρ: 7.5 Mg/m³
formation enthalpy at 0 K: -0.456 eV/atom
DOS(E_F): 3.7 states/eV per cell

***

Entry 6:
A plane-wave DFT calculation with PBE-GGA was carried out for an optimized crystal structure of PmCo2B.

```
8
Lattice="3.7571 0.0000 0.0000 0.0000 3.7571 0.0000 0.0000 0.0000 8.1477" Properties=species:S:1:pos:R:3 pbc="T T T"
Pm 1.8785 0.0000 1.7071
Pm 0.0000 1.8785 6.4407
Co 1.8785 0.0000 6.9007
Co 0.0000 1.8785 1.2470
Co 0.0000 0.0000 4.0739
Co 1.8785 1.8785 4.0739
B 1.8785 0.0000 4.9144
B 0.0000 1.8785 3.2334
```

Output
ρ: 7.9 Mg/m³
formation enthalpy at 0 K: -0.110 eV/atom
DOS(E_F): 3.4 states/eV per cell

***

Entry 7:
A plane-wave DFT calculation with PBE-GGA was carried out for an optimized crystal structure of Sr2BeAuN.

```
5
Lattice="5.5635 0.0000 0.0000 0.0000 5.5635 0.0000 0.0000 0.0000 3.3275" Properties=species:S:1:pos:R:3 pbc="T T T"
Sr 0.0000 2.7818 0.0000
Sr 2.7818 0.0000 0.0000
Au 2.7818 2.7818 1.6638
Be 0.0000 0.0000 1.6638
N 0.0000 0.0000 0.0000
```

Output
ρ: 6.4 Mg/m³
DOS(E_F): 3.3 states/eV per cell
formation energy (no corrections): -0.561 eV/atom

***

Entry 8:
A plane-wave DFT calculation with PBE-GGA was carried out for an optimized crystal structure of CaIrRuPt2.

```
5
Lattice="4.9058 0.0000 0.0000 0.0000 4.6598 0.0000 0.0000 0.0000 4.9058" Properties=species:S:1:pos:R:3 pbc="T T T"
Ru 0.0000 0.0000 0.0000
Ca 2.4529 2.3299 2.4529
Ir 0.0000 2.3299 0.0000
Pt 0.0000 0.0000 2.4529
Pt 2.4529 0.0000 0.0000
```

Output
ρ: 10.7 Mg/m³
formation enthalpy at 0 K: 0.582 eV/atom
DOS(E_F): 6.5 states/eV per cell

***

Entry 9:
A plane-wave DFT calculation with PBE-GGA was carried out for an optimized crystal structure of VTc2SnC.

```
5
Lattice="4.1728 0.0000 0.0000 0.0000 4.1728 0.0000 0.0000 0.0000 3.9994" Properties=species:S:1:pos:R:3 pbc="T T T"
C 0.0000 0.0000 0.0000
V 0.0000 0.0000 1.9997
Sn 2.0864 2.0864 1.9997
Tc 0.0000 2.0864 0.0000
Tc 2.0864 0.0000 0.0000
```

Output
ρ: 9.0 Mg/m³
formation enthalpy at 0 K: -0.011 eV/atom
DOS(E_F): 4.1 states/eV per cell

***

Entry 10:
A plane-wave DFT calculation with PBE-GGA was carried out for an optimized crystal structure of Ac6Ni2AgBr3.

```
12
Lattice="4.4046 0.0000 0.0000 0.0000 9.6812 -0.1457 -2.2023 -3.2916 9.8034" Properties=species:S:1:pos:R:3 pbc="T T T"
Ac 0.0000 6.2398 6.4904
Ac 2.2023 4.1562 3.4671
Ac 2.2023 0.1498 3.1673
Ac 0.0000 2.2396 0.3423
Ac 2.2023 4.1500 9.3155
Ac 0.0000 2.2334 6.1907
Ni 2.2023 4.2409 6.4058
Ni 0.0000 2.1487 3.2520
Ag 2.2023 0.0000 0.0000
Br 2.2023 4.8406 -0.0728
Br 2.2023 -0.5981 6.5744
Br 0.0000 6.9877 3.0834
```

Output
ρ: 7.3 Mg/m³
DOS(E_F): 9.2 states/eV per cell
formation energy (no corrections): -0.785 eV/atom

***

Entry 11:
A plane-wave DFT calculation with PBE-GGA was carried out for an optimized crystal structure of VPHS2.

```
5
Lattice="4.4777 0.0000 0.0000 0.0000 4.4777 0.0000 0.0000 0.0000 3.1947" Properties=species:S:1:pos:R:3 pbc="T T T"
P 0.0000 0.0000 1.5973
S 0.0000 2.2388 0.0000
S 2.2388 0.0000 0.0000
H 0.0000 0.0000 0.0000
V 2.2388 2.2388 1.5973
```

Output
E: -4.756 eV/atom
ρ: 3.8 Mg/m³
DOS(E_F): 3.2 states/eV per cell

***

Entry 12:
A plane-wave DFT calculation with PBE-GGA was carried out for an optimized crystal structure of Sc2ReP.

```
4
Lattice="4.0380 -6.9545 3.2643 6.3274 -5.7912 1.3233 5.9773 -4.6004 4.2934" Properties=species:S:1:pos:R:3 pbc="T T T"
Sc 14.7158 -15.6193 7.9969
Sc 1.6269 -1.7268 0.8841
Re 0.0000 0.0000 0.0000
P 8.1714 -8.6731 4.4405
```

Output
ρ: 6.7 Mg/m³
formation enthalpy at 0 K: 0.116 eV/atom
DOS(E_F): 3.0 states/eV per cell